The following is a DFT calculation (PBE) of a relaxed BaZr2W crystal.

Geometry as POSCAR:
```
BaZr2W
1.0
-3.5345 4.8773 0.4711
-0.9637 -4.6211 3.8850
1.1635 1.2604 2.5015
Ba W Zr
1 1 2
Direct
0.5000 0.5000 0.0000
0.5000 0.0000 0.5000
0.0000 0.0000 0.0000
0.0000 0.5000 0.5000
```

Polymorph energy (0 for the lowest one), meV/atom: 634
Energy of formation from the pure elements, kJ per mole of atoms: 94
V, Å³ per atom: 23.48